1.
Entry from Alexandria via LeMat-Bulk: a geometry-optimized LaMgNi2 structure (PBE).

The structure belongs to space group Cm (No. 8); the cell edges are 10.1891, 3.1003 and 4.7784 Å and the angles 90.00°, 104.34° and 90.00°. The asymmetric unit holds La at (0.0000, 0.0000, 0.0000), Mg at (0.2858, 0.5000, 0.3711), Ni at (0.0332, 0.5000, 0.5168) and Ni at (0.2245, 0.0000, 0.7958).

The energy of formation is -80 meV/atom. The total moment comes out at 0.000 μB per cell. The total energy is -4.6014 eV/atom.

2.
Entry from Alexandria via LeMat-Bulk: a geometry-optimized LaMgNi2 structure (PBE).

The structure belongs to space group P4mm (No. 99); the cell edges are 3.2546, 3.2546 and 7.2443 Å and the angles 90.00°, 90.00° and 90.00°. The asymmetric unit holds La at (0.0000, 0.0000, 0.0000), Mg at (0.5000, 0.5000, 0.3978), Ni at (0.0000, 0.0000, 0.6119) and Ni at (0.5000, 0.5000, 0.7532).

The energy of formation is -24 meV/atom. The total moment comes out at 0.004 μB per cell. The total energy is -4.5447 eV/atom.

3.
Entry from Alexandria via LeMat-Bulk: a geometry-optimized La6MgNi structure (PBE).

The structure belongs to space group P-1 (No. 2); the cell edges are 6.9979, 7.0138 and 7.7090 Å and the angles 90.28°, 116.61° and 119.77°. The asymmetric unit holds La at (0.0649, 0.0731, 0.2434), La at (0.2531, 0.6803, 0.2456), La at (0.3251, 0.5058, 0.7554), Mg at (0.5000, 0.0000, 0.0000) and Ni at (0.5000, 0.5000, 0.5000).

The energy of formation is 102 meV/atom. The total moment comes out at 0.000 μB per cell. The total energy is -4.5156 eV/atom.

- Which formula does entry 1 have?
  LaMgNi2

- energy of formation of number 2 (LaMgNi2)?
  -24 meV/atom

- Which of these has the highest energy of formation?
  La6MgNi